VASP calculation (PBE) on an optimized crystal structure of BaAcPrMg.

a = 6.0988 Å, b = 6.0988 Å, c = 6.0988 Å
α = 60.00°, β = 60.00°, γ = 60.00°
Atoms (fractional coordinates):
Pr1 0.7500 0.7500 0.7500
Ac1 0.5000 0.5000 0.5000
Mg1 0.0000 0.0000 0.0000
Ba1 0.2500 0.2500 0.2500

Properties
The calculation puts the formation energy at 0.16 eV/atom. The total magnetization comes out at 0.00 μB/cell.